No. 1
Density functional theory data (PBE-GGA) for a relaxed structure of TaZnSi2.

## Properties
**D(E_F)**: 0.550 states/eV per atom
**Spin magnetization**: 0.00 Bohr magnetons per cell
**Formation energy (no corrections)**: -2.33 kJ per mole of atoms

Unit cell a=3.710 b=3.710 c=8.597 alpha=90.00 beta=90.00 gamma=90.00
Space group I-4m2 (No. 119)
Unique sites:
Ta: 0.000 0.000 0.000 (multiplicity 2)
Zn: 0.000 0.500 0.250 (multiplicity 2)
Si: 0.000 0.000 0.500 (multiplicity 2)
Si: 0.000 0.500 0.750 (multiplicity 2)

---

No. 2
Density functional theory data (PBE-GGA) for a relaxed structure of TaZnSi2.

## Properties
**D(E_F)**: 0.558 states/eV per atom
**Spin magnetization**: 0.00 Bohr magnetons per cell
**Formation energy (no corrections)**: 18.70 kJ per mole of atoms

Unit cell a=2.758 b=2.758 c=8.114 alpha=90.00 beta=90.00 gamma=90.00
Space group P4mm (No. 99)
Unique sites:
Ta: 0.000 0.000 0.000 (multiplicity 1)
Zn: 0.500 0.500 0.262 (multiplicity 1)
Si: 0.000 0.000 0.507 (multiplicity 1)
Si: 0.500 0.500 0.755 (multiplicity 1)

---

No. 3
Density functional theory data (PBE-GGA) for a relaxed structure of TaZnSi2.

## Properties
**D(E_F)**: 0.421 states/eV per atom
**Spin magnetization**: 0.00 Bohr magnetons per cell
**Formation energy (no corrections)**: -9.48 kJ per mole of atoms

Unit cell a=3.360 b=3.360 c=5.383 alpha=90.00 beta=90.00 gamma=90.00
Space group P4/mmm (No. 123)
Unique sites:
Ta: 0.000 0.000 0.000 (multiplicity 1)
Zn: 0.000 0.000 0.500 (multiplicity 1)
Si: 0.500 0.500 0.251 (multiplicity 2)

---

No. 4
Density functional theory data (PBE-GGA) for a relaxed structure of TaZnSi.

## Properties
**D(E_F)**: 0.698 states/eV per atom
**Spin magnetization**: 0.00 Bohr magnetons per cell
**Formation energy (no corrections)**: 11.34 kJ per mole of atoms

Unit cell a=3.497 b=4.406 c=12.488 alpha=90.00 beta=90.00 gamma=90.00
Space group Fmm2 (No. 42)
Unique sites:
Ta: 0.000 0.000 0.000 (multiplicity 4)
Zn: 0.000 0.000 0.327 (multiplicity 4)
Si: 0.000 0.000 0.658 (multiplicity 4)

---

No. 5
Density functional theory data (PBE-GGA) for a relaxed structure of Ta2ZnSi.

## Properties
**D(E_F)**: 0.342 states/eV per atom
**Spin magnetization**: 0.00 Bohr magnetons per cell
**Formation energy (no corrections)**: 29.61 kJ per mole of atoms

Unit cell a=6.378 b=6.378 c=6.378 alpha=90.00 beta=90.00 gamma=90.00
Space group F-43m (No. 216)
Unique sites:
Ta: 0.000 0.000 0.000 (multiplicity 4)
Ta: 0.250 0.250 0.250 (multiplicity 4)
Zn: 0.000 0.000 0.500 (multiplicity 4)
Si: 0.250 0.250 0.750 (multiplicity 4)

---

No. 6
Density functional theory data (PBE-GGA) for a relaxed structure of TaZnSi2.

## Properties
**D(E_F)**: 0.374 states/eV per atom
**Spin magnetization**: 0.00 Bohr magnetons per cell
**Formation energy (no corrections)**: -0.95 kJ per mole of atoms

Unit cell a=2.708 b=4.355 c=5.104 alpha=90.00 beta=90.00 gamma=90.00
Space group Pmmm (No. 47)
Unique sites:
Ta: 0.000 0.000 0.000 (multiplicity 1)
Zn: 0.500 0.000 0.500 (multiplicity 1)
Si: 0.500 0.500 0.245 (multiplicity 2)

---

No. 7
Density functional theory data (PBE-GGA) for a relaxed structure of TaZnSi.

## Properties
**D(E_F)**: 0.698 states/eV per atom
**Spin magnetization**: 0.00 Bohr magnetons per cell
**Formation energy (no corrections)**: 3.09 kJ per mole of atoms

Unit cell a=4.3426 b=4.3426 c=2.7501 alpha=90.00 beta=90.00 gamma=120.00
Space group P-6m2 (No. 187)
Unique sites:
Ta: 0.0000 0.0000 0.0000 (multiplicity 1)
Zn: 0.6667 0.3333 0.5000 (multiplicity 1)
Si: 0.3333 0.6667 0.5000 (multiplicity 1)

---

No. 8
Density functional theory data (PBE-GGA) for a relaxed structure of TaZnSi2.

## Properties
**D(E_F)**: 0.456 states/eV per atom
**Spin magnetization**: 0.00 Bohr magnetons per cell
**Formation energy (no corrections)**: 46.72 kJ per mole of atoms

Unit cell a=6.288 b=6.288 c=6.288 alpha=90.00 beta=90.00 gamma=90.00
Space group F-43m (No. 216)
Unique sites:
Ta: 0.000 0.000 0.000 (multiplicity 4)
Zn: 0.250 0.250 0.250 (multiplicity 4)
Si: 0.000 0.000 0.500 (multiplicity 4)
Si: 0.250 0.250 0.750 (multiplicity 4)

---

No. 9
Density functional theory data (PBE-GGA) for a relaxed structure of Ta2ZnSi.

## Properties
**D(E_F)**: 0.398 states/eV per atom
**Spin magnetization**: 0.00 Bohr magnetons per cell
**Formation energy (no corrections)**: 9.30 kJ per mole of atoms

Unit cell a=2.841 b=2.841 c=8.105 alpha=90.00 beta=90.00 gamma=90.00
Space group P4mm (No. 99)
Unique sites:
Ta: 0.000 0.000 0.000 (multiplicity 1)
Ta: 0.500 0.500 0.290 (multiplicity 1)
Zn: 0.000 0.000 0.541 (multiplicity 1)
Si: 0.500 0.500 0.767 (multiplicity 1)

---

No. 10
Density functional theory data (PBE-GGA) for a relaxed structure of Ta2ZnSi.

## Properties
**D(E_F)**: 0.579 states/eV per atom
**Spin magnetization**: 0.00 Bohr magnetons per cell
**Formation energy (no corrections)**: -9.60 kJ per mole of atoms

Unit cell a=3.674 b=4.392 c=7.927 alpha=90.00 beta=90.00 gamma=90.00
Space group Immm (No. 71)
Unique sites:
Ta: 0.000 0.000 0.239 (multiplicity 4)
Zn: 0.000 0.500 0.000 (multiplicity 2)
Si: 0.000 0.500 0.500 (multiplicity 2)

---

No. 11
Density functional theory data (PBE-GGA) for a relaxed structure of TaZnSi2.

## Properties
**D(E_F)**: 0.410 states/eV per atom
**Spin magnetization**: 0.00 Bohr magnetons per cell
**Formation energy (no corrections)**: 2.19 kJ per mole of atoms

Unit cell a=9.656 b=2.787 c=4.599 alpha=90.00 beta=93.14 gamma=90.00
Space group Cm (No. 8)
Unique sites:
Ta: 0.000 0.000 0.000 (multiplicity 2)
Zn: 0.260 0.000 0.699 (multiplicity 2)
Si: 0.009 0.500 0.505 (multiplicity 2)
Si: 0.237 0.500 0.191 (multiplicity 2)

---

No. 12
Density functional theory data (PBE-GGA) for a relaxed structure of TaZnSi2.

## Properties
**D(E_F)**: 0.319 states/eV per atom
**Spin magnetization**: 0.00 Bohr magnetons per cell
**Formation energy (no corrections)**: 11.09 kJ per mole of atoms

Unit cell a=5.695 b=8.699 c=2.878 alpha=90.00 beta=119.44 gamma=90.00
Space group C2/m (No. 12)
Unique sites:
Ta: 0.000 0.000 0.000 (multiplicity 2)
Zn: 0.000 0.500 0.000 (multiplicity 2)
Si: 0.250 0.250 0.500 (multiplicity 4)

---

Computed V, in the same sequence as the records: 118.3; 61.7; 60.8; 192.4; 259.5; 60.2; 44.9; 248.6; 65.4; 127.9; 123.6; 124.2 Å³/cell.